## MnCoSiS2 (GGA-PBEsol)

Data for MnCoSiS2 after structural relaxation.

Unit cell a=4.140 b=4.510 c=4.510 alpha=90.00 beta=90.00 gamma=90.00
Each line ends with the local moment (μB).
Fractional coordinates of all 5 atoms:
S 0.000 0.000 0.500  -0.01
S 0.000 0.500 0.000  -0.01
Mn 0.500 0.500 0.500  4.29
Co 0.000 0.000 0.000  -0.16
Si 0.500 0.000 0.000  -0.04

The crystal system is tetragonal. As for the space-group type: P4/mmm (123). As for the electronic total energy: -29.60 eV per formula unit. The total moment is 4.3 Bohr magnetons per cell. As for the theoretical density: 4.065 g/cm3.

---

## CaLaAu2 (GGA-PBEsol)

Data for CaLaAu2 after structural relaxation.

Unit cell a=5.151 b=5.151 c=5.151 alpha=60.00 beta=60.00 gamma=60.00
Fractional coordinates of all 4 atoms:
Ca 0.000 0.000 0.000
Au 0.250 0.250 0.250
Au 0.750 0.750 0.750
La 0.500 0.500 0.500

The crystal system is cubic. As for the space-group type: Fm-3m (225). As for the electronic total energy: -18.45 eV per formula unit. The total moment is 0.0 Bohr magnetons per cell. As for the theoretical density: 9.844 g/cm3.

---

## FeCuRe (GGA-PBEsol)

Data for FeCuRe after structural relaxation.

Unit cell a=2.517 b=4.099 c=4.099 alpha=120.00 beta=90.00 gamma=90.00
Each line ends with the local moment (μB).
Fractional coordinates of all 3 atoms:
Cu 0.923 0.000 0.000  -0.03
Fe 0.698 0.667 0.333  1.58
Re 0.379 0.333 0.667  -0.17

The crystal system is trigonal. As for the space-group type: P3m1 (156). The value obtained for the distance to the lowest polymorph of the same formula is 0.0 meV per atom. As for the electronic total energy: -25.97 eV per formula unit. The total moment is 1.4 Bohr magnetons per cell. As for the theoretical density: 13.855 g/cm3.

---

## KP2Pt (GGA-PBEsol)

Data for KP2Pt after structural relaxation.

Unit cell a=2.704 b=5.291 c=5.291 alpha=115.66 beta=90.00 gamma=90.00
Fractional coordinates of all 4 atoms:
K 0.500 0.500 0.500
P 0.000 0.500 0.000
P 0.000 0.000 0.500
Pt 0.500 0.000 0.000

The crystal system is orthorhombic. As for the space-group type: Cmmm (65). The value obtained for the distance to the lowest polymorph of the same formula is 345.5 meV per atom. As for the electronic total energy: -17.91 eV per formula unit. The total moment is 0.0 Bohr magnetons per cell. As for the theoretical density: 7.208 g/cm3.

---

## MgTa2Si (GGA-PBEsol)

Data for MgTa2Si after structural relaxation.

Unit cell a=2.842 b=4.084 c=5.666 alpha=90.00 beta=90.00 gamma=90.00
Fractional coordinates of all 4 atoms:
Mg 0.500 0.500 0.000
Si 0.500 0.500 0.500
Ta 0.000 0.000 0.739
Ta 0.000 0.000 0.261

The crystal system is orthorhombic. As for the space-group type: Pmmm (47). As for the electronic total energy: -32.30 eV per formula unit. The total moment is 0.0 Bohr magnetons per cell. As for the theoretical density: 10.463 g/cm3.

---

## Y2MnZn (GGA-PBEsol)

Data for Y2MnZn after structural relaxation.

Unit cell a=3.398 b=4.806 c=5.992 alpha=113.63 beta=106.47 gamma=90.00
Each line ends with the local moment (μB).
Fractional coordinates of all 4 atoms:
Mn 0.214 0.714 0.427  3.30
Y 0.982 0.981 0.963  -0.18
Y 0.773 0.273 0.545  -0.28
Zn 0.532 0.532 0.064  -0.02

The crystal system is orthorhombic. As for the space-group type: Imm2 (44). As for the electronic total energy: -24.84 eV per formula unit. The total moment is 2.8 Bohr magnetons per cell. As for the theoretical density: 5.808 g/cm3.

---

## NiTeP2Cl (GGA-PBEsol)

Data for NiTeP2Cl after structural relaxation.

Unit cell a=4.395 b=4.504 c=4.504 alpha=90.00 beta=90.00 gamma=90.00
Fractional coordinates of all 5 atoms:
Ni 0.000 0.000 0.000
Te 0.500 0.500 0.500
P 0.000 0.000 0.500
P 0.000 0.500 0.000
Cl 0.500 0.000 0.000

The crystal system is tetragonal. As for the space-group type: P4/mmm (123). As for the electronic total energy: -21.90 eV per formula unit. The total moment is 0.0 Bohr magnetons per cell. As for the theoretical density: 5.283 g/cm3.

---

## LaNi2Os (GGA-PBEsol)

Data for LaNi2Os after structural relaxation.

Unit cell a=3.961 b=3.961 c=4.837 alpha=114.17 beta=114.17 gamma=90.00
Each line ends with the local moment (μB).
Fractional coordinates of all 4 atoms:
La 0.250 0.750 0.500  0.00
Ni 0.000 0.000 0.000  0.15
Ni 0.750 0.250 0.500  0.34
Os 0.500 0.500 0.000  0.33

The crystal system is tetragonal. As for the space-group type: I-4m2 (119). The value obtained for the distance to the lowest polymorph of the same formula is 150.0 meV per atom. As for the electronic total energy: -28.34 eV per formula unit. The total moment is 0.8 Bohr magnetons per cell. As for the theoretical density: 11.987 g/cm3.

---

## Zr2MnCrAg (GGA-PBEsol)

Data for Zr2MnCrAg after structural relaxation.

Unit cell a=4.101 b=4.813 c=4.813 alpha=90.00 beta=90.00 gamma=90.00
Each line ends with the local moment (μB).
Fractional coordinates of all 5 atoms:
Cr 0.500 0.000 0.000  1.69
Mn 0.000 0.000 0.000  -0.25
Zr 0.000 0.000 0.500  -0.03
Zr 0.000 0.500 0.000  -0.03
Ag 0.500 0.500 0.500  0.00

The crystal system is tetragonal. As for the space-group type: P4/mmm (123). As for the electronic total energy: -38.66 eV per formula unit. The total moment is 1.5 Bohr magnetons per cell. As for the theoretical density: 6.945 g/cm3.

---

## K2NaH6N3 (GGA-PBEsol)

Data for K2NaH6N3 after structural relaxation.

Unit cell a=6.941 b=6.941 c=12.282 alpha=90.00 beta=90.00 gamma=90.00
Fractional coordinates of all 48 atoms:
K 0.500 0.500 0.250
K 0.500 0.500 0.750
K 0.000 0.000 0.000
K 0.000 0.000 0.500
K 0.000 0.500 0.150
K 0.500 0.000 0.650
K 0.000 0.500 0.850
K 0.500 0.000 0.350
Na 0.365 0.328 0.000
Na 0.635 0.672 0.000
Na 0.672 0.365 0.500
Na 0.328 0.635 0.500
H 0.161 0.152 0.220
H 0.839 0.848 0.220
H 0.848 0.161 0.720
H 0.152 0.839 0.720
H 0.839 0.848 0.780
H 0.161 0.152 0.780
H 0.152 0.839 0.280
H 0.848 0.161 0.280
H 0.332 0.055 0.150
H 0.668 0.945 0.150
H 0.945 0.332 0.650
H 0.055 0.668 0.650
H 0.668 0.945 0.850
H 0.332 0.055 0.850
H 0.055 0.668 0.350
H 0.945 0.332 0.350
H 0.709 0.247 0.066
H 0.291 0.753 0.066
H 0.753 0.709 0.566
H 0.247 0.291 0.566
H 0.291 0.753 0.934
H 0.709 0.247 0.934
H 0.247 0.291 0.434
H 0.753 0.709 0.434
N 0.728 0.338 0.000
N 0.272 0.662 0.000
N 0.662 0.728 0.500
N 0.338 0.272 0.500
N 0.269 0.187 0.166
N 0.731 0.813 0.166
N 0.813 0.269 0.666
N 0.187 0.731 0.666
N 0.731 0.813 0.834
N 0.269 0.187 0.834
N 0.187 0.731 0.334
N 0.813 0.269 0.334

The crystal system is tetragonal. As for the space-group type: P4_2/m (84). As for the electronic total energy: -53.87 eV per formula unit. The total moment is 0.0 Bohr magnetons per cell. As for the theoretical density: 1.675 g/cm3.

---

## ThGeO4 (GGA-PBEsol)

Data for ThGeO4 after structural relaxation.

Unit cell a=6.070 b=6.070 c=6.070 alpha=106.84 beta=106.84 gamma=114.86
Fractional coordinates of all 12 atoms:
Th 0.750 0.250 0.500
Th 0.500 0.500 0.000
Ge 0.000 0.000 0.000
Ge 0.250 0.750 0.500
O 0.429 0.111 0.683
O 0.361 0.179 0.183
O 0.996 0.179 0.817
O 0.429 0.746 0.317
O 0.889 0.571 0.317
O 0.821 0.639 0.817
O 0.821 0.004 0.183
O 0.254 0.571 0.683

The crystal system is tetragonal. As for the space-group type: I4_1/amd (141). As for the electronic total energy: -50.90 eV per formula unit. The total moment is 0.0 Bohr magnetons per cell. As for the theoretical density: 7.161 g/cm3.

---

## HgGe3Os (GGA-PBEsol)

Data for HgGe3Os after structural relaxation.

Unit cell a=4.779 b=4.779 c=4.779 alpha=90.00 beta=90.00 gamma=90.00
Fractional coordinates of all 5 atoms:
Ge 0.000 0.500 0.000
Ge 0.000 0.000 0.500
Ge 0.500 0.000 0.000
Os 0.000 0.000 0.000
Hg 0.500 0.500 0.500

The crystal system is cubic. As for the space-group type: Pm-3m (221). As for the electronic total energy: -25.86 eV per formula unit. The total moment is 0.0 Bohr magnetons per cell. As for the theoretical density: 9.261 g/cm3.